Arrangement i

DFT (GGA-PBE) results for an optimized crystal structure of BeIn3Te.

* crystal system: cubic
* SG: Pm-3m

a = 6.0451 Å, b = 6.0451 Å, c = 6.0451 Å
α = 90.00°, β = 90.00°, γ = 90.00°
Last column: nearest neighbours and their distance in Å.
Positions (direct):
Be: 0.0000 0.0000 0.0000  12 In 4.27
In: 0.0000 0.5000 0.5000  2 Te 3.02
In: 0.5000 0.0000 0.5000  2 Te 3.02
In: 0.5000 0.5000 0.0000  2 Te 3.02
Te: 0.5000 0.5000 0.5000  6 In 3.02

***

Arrangement ii

DFT (GGA-PBE) results for an optimized crystal structure of BeIn3Te.

* crystal system: cubic
* SG: Pm-3m

a = 5.0348 Å, b = 5.0348 Å, c = 5.0348 Å
α = 90.00°, β = 90.00°, γ = 90.00°
Last column: nearest neighbours and their distance in Å.
Positions (direct):
Be: 0.0000 0.0000 0.0000  6 In 2.52
In: 0.0000 0.0000 0.5000  2 Be 2.52
In: 0.0000 0.5000 0.0000  2 Be 2.52
In: 0.5000 0.0000 0.0000  2 Be 2.52
Te: 0.5000 0.5000 0.5000  12 In 3.56

***

Name the most stable of them. arrangement ii.

***

Arrangement i

DFT (GGA-PBE) results for an optimized crystal structure of ThBeIn.

* crystal system: cubic
* SG: F-43m

a = 4.6435 Å, b = 4.6435 Å, c = 4.6435 Å
α = 60.00°, β = 60.00°, γ = 60.00°
Last column: nearest neighbours and their distance in Å.
Positions (direct):
Th: 0.0000 0.0000 0.0000  4 Be 2.84
Be: 0.7500 0.7500 0.7500  4 In 2.84, 4 Th 2.84
In: 0.5000 0.5000 0.5000  4 Be 2.84

***

Arrangement ii

DFT (GGA-PBE) results for an optimized crystal structure of ThBeIn.

* crystal system: orthorhombic
* SG: Cmcm

a = 8.3918 Å, b = 8.3918 Å, c = 3.8952 Å
α = 90.00°, β = 90.00°, γ = 149.98°
Last column: nearest neighbours and their distance in Å.
Positions (direct):
Th: 0.0884 0.9116 0.7500  6 Be 2.95-3.05
Th: 0.9116 0.0884 0.2500  6 Be 2.95-3.05
Be: 0.4658 0.5342 0.7500  2 Be 2.24
Be: 0.5342 0.4658 0.2500  2 Be 2.24
In: 0.2956 0.7044 0.7500  1 Be 2.76
In: 0.7044 0.2956 0.2500  1 Be 2.76

***

Name the most stable of them. arrangement ii.

***

Arrangement i

DFT (GGA-PBE) results for an optimized crystal structure of TiBeIn3.

* crystal system: cubic
* SG: Pm-3m

a = 5.3998 Å, b = 5.3998 Å, c = 5.3998 Å
α = 90.00°, β = 90.00°, γ = 90.00°
Last column: nearest neighbours and their distance in Å.
Positions (direct):
Ti: 0.0000 0.0000 0.0000  6 In 2.70
Be: 0.5000 0.5000 0.5000  12 In 3.82
In: 0.0000 0.0000 0.5000  2 Ti 2.70
In: 0.0000 0.5000 0.0000  2 Ti 2.70
In: 0.5000 0.0000 0.0000  2 Ti 2.70

***

Arrangement ii

DFT (GGA-PBE) results for an optimized crystal structure of TiBeIn3.

* crystal system: cubic
* SG: Pm-3m

a = 4.7975 Å, b = 4.7975 Å, c = 4.7975 Å
α = 90.00°, β = 90.00°, γ = 90.00°
Last column: nearest neighbours and their distance in Å.
Positions (direct):
Ti: 0.0000 0.0000 0.0000  12 In 3.39
Be: 0.5000 0.5000 0.5000  6 In 2.40
In: 0.0000 0.5000 0.5000  2 Be 2.40
In: 0.5000 0.0000 0.5000  2 Be 2.40
In: 0.5000 0.5000 0.0000  2 Be 2.40

***

Name the most stable of them. arrangement ii.

***

Arrangement i

DFT (GGA-PBE) results for an optimized crystal structure of Be2TlIn.

* crystal system: monoclinic
* SG: Pm

a = 3.9351 Å, b = 4.0080 Å, c = 4.8751 Å
α = 90.00°, β = 112.48°, γ = 90.00°
Last column: nearest neighbours and their distance in Å.
Positions (direct):
Be: 0.0000 0.0000 0.0000  2 Be 2.25
Be: 0.1127 0.5000 0.2281  2 Be 2.25
Tl: 0.4079 0.5000 0.8118  7 Be 2.63-2.94
In: 0.6972 0.0000 0.4029  7 Be 2.66-2.92

***

Arrangement ii

DFT (GGA-PBE) results for an optimized crystal structure of Be2TlIn.

* crystal system: monoclinic
* SG: C2/m

a = 5.1894 Å, b = 5.1894 Å, c = 3.4402 Å
α = 107.93°, β = 107.93°, γ = 105.11°
Last column: nearest neighbours and their distance in Å.
Positions (direct):
Be: 0.0000 0.5000 0.0000  2 Tl 2.64, 2 In 2.64
Be: 0.5000 0.0000 0.0000  2 Tl 2.64, 2 In 2.64
Tl: 0.0000 0.0000 0.5000  4 Be 2.64
In: 0.5000 0.5000 0.5000  4 Be 2.64

***

Name the most stable of them. arrangement i.

***

Arrangement i

DFT (GGA-PBE) results for an optimized crystal structure of BeTl2In.

* crystal system: tetragonal
* SG: P4/mmm

a = 3.2615 Å, b = 3.2615 Å, c = 9.1700 Å
α = 90.00°, β = 90.00°, γ = 90.00°
Last column: nearest neighbours and their distance in Å.
Positions (direct):
Be: 0.0000 0.0000 0.0000  8 Tl 2.94, 4 Be 3.26
Tl: 0.5000 0.5000 0.1990  4 Be 2.94, 4 Tl 3.26
Tl: 0.5000 0.5000 0.8010  4 Be 2.94, 4 Tl 3.26
In: 0.0000 0.0000 0.5000  4 In 3.26, 8 Tl 3.60

***

Arrangement ii

DFT (GGA-PBE) results for an optimized crystal structure of BeTl2In.

* crystal system: tetragonal
* SG: I-42d

a = 7.6304 Å, b = 7.6304 Å, c = 7.6304 Å
α = 130.49°, β = 130.49°, γ = 72.63°
Last column: nearest neighbours and their distance in Å.
Positions (direct):
Be: 0.0000 0.0000 0.0000  4 Tl 2.39
Be: 0.7500 0.2500 0.5000  4 Tl 2.39
Tl: 0.0158 0.6250 0.8908  2 Be 2.39
Tl: 0.3750 0.2658 0.3908  2 Be 2.39
Tl: 0.7342 0.1250 0.1092  2 Be 2.39
Tl: 0.8750 0.9842 0.6092  2 Be 2.39
In: 0.2500 0.7500 0.5000  4 Tl 3.19
In: 0.5000 0.5000 0.0000  4 Tl 3.19

***

Name the most stable of them. arrangement i.

***

Arrangement i

DFT (GGA-PBE) results for an optimized crystal structure of BeTl2In.

* crystal system: trigonal
* SG: R3m

a = 9.5334 Å, b = 9.5334 Å, c = 9.5334 Å
α = 21.08°, β = 21.08°, γ = 21.08°
Last column: nearest neighbours and their distance in Å.
Positions (direct):
Be: 0.0000 0.0000 0.0000  3 In 2.70, 3 Tl 2.78
Tl: 0.5042 0.5042 0.5042  3 In 3.41, 9 Tl 3.49-3.50
Tl: 0.7352 0.7352 0.7352  3 Be 2.78
In: 0.2691 0.2691 0.2691  3 Be 2.70

***

Arrangement ii

DFT (GGA-PBE) results for an optimized crystal structure of BeTl2In.

* crystal system: orthorhombic
* SG: Cmm2

a = 3.3720 Å, b = 3.3720 Å, c = 8.8506 Å
α = 90.00°, β = 90.00°, γ = 101.47°
Last column: nearest neighbours and their distance in Å.
Positions (direct):
Be: 0.0000 0.0000 0.0000  2 In 2.61, 2 Tl 2.82
Tl: 0.0000 0.0000 0.4618  4 In 3.35-3.67, 6 Tl 3.37-3.62
Tl: 0.5000 0.5000 0.7921  2 Be 2.82
In: 0.5000 0.5000 0.1705  2 Be 2.61

***

Arrangement iii

DFT (GGA-PBE) results for an optimized crystal structure of BeTl2In.

* crystal system: tetragonal
* SG: P4mm

a = 3.3435 Å, b = 3.3435 Å, c = 8.8041 Å
α = 90.00°, β = 90.00°, γ = 90.00°
Last column: nearest neighbours and their distance in Å.
Positions (direct):
Be: 0.0000 0.0000 0.0000  4 In 2.76, 4 Tl 3.04
Tl: 0.0000 0.0000 0.4512  4 Tl 3.34, 4 In 3.48
Tl: 0.5000 0.5000 0.7829  4 Be 3.04, 1 In 3.33, 4 Tl 3.34
In: 0.5000 0.5000 0.1611  4 Be 2.76

***

Arrangement iv

DFT (GGA-PBE) results for an optimized crystal structure of BeTl2In.

* crystal system: monoclinic
* SG: C2/m

a = 7.9085 Å, b = 7.9085 Å, c = 4.2312 Å
α = 105.39°, β = 105.39°, γ = 23.67°
Last column: nearest neighbours and their distance in Å.
Positions (direct):
Be: 0.0000 0.0000 0.0000  4 In 2.67
Tl: 0.3294 0.3294 0.8292  2 Be 3.02, 2 Tl 3.24, 2 In 3.30-3.31
Tl: 0.6706 0.6706 0.1708  2 Be 3.02, 2 Tl 3.24, 2 In 3.30-3.31
In: 0.5000 0.5000 0.5000  4 Be 2.67

***

Name the most stable of them. arrangement iv.